Material: LiY2Ir2
Method: DFT, GGA-PBE
State: relaxed

a b c (Å): 8.156 8.156 3.229
angles (deg): 90.00 90.00 90.00
Sites, in units of the cell vectors:
Y 0.649 0.149 0.000
Y 0.851 0.649 0.000
Y 0.351 0.851 0.000
Y 0.149 0.351 0.000
Li 0.500 0.500 0.000
Li 0.000 0.000 0.000
Ir 0.853 0.353 0.500
Ir 0.353 0.147 0.500
Ir 0.147 0.647 0.500
Ir 0.647 0.853 0.500

- Energy relative to the lowest polymorph listed for this composition: 258.5 meV per atom
- Energy relative to the elements: -0.400 eV/atom
- Symmetry: P4/mbm, No. 127